## SrSiCl2 (PBE)

Data for a geometry-optimized SrSiCl2 structure.

The structure in CIF format:
```
data_SrSiCl2
_cell_length_a 3.476
_cell_length_b 3.476
_cell_length_c 11.711
_cell_angle_alpha 90.00
_cell_angle_beta 90.00
_cell_angle_gamma 90.00
_symmetry_space_group_name_H-M 'P 1'
_symmetry_Int_Tables_number 1
loop_
_symmetry_equiv_pos_as_xyz
'x,y,z'
loop_
_atom_site_label
_atom_site_type_symbol
_atom_site_fract_x
_atom_site_fract_y
_atom_site_fract_z
_atom_site_occupancy
Cl1 Cl 0.000 0.000 0.891 1
Cl2 Cl 0.000 0.000 0.609 1
Si1 Si 0.500 0.500 0.250 1
Sr1 Sr 0.500 0.500 0.750 1
```

## SrSi2Cl (PBE)

Data for a geometry-optimized SrSi2Cl structure.

The structure in CIF format:
```
data_SrSi2Cl
_cell_length_a 10.085
_cell_length_b 10.085
_cell_length_c 7.577
_cell_angle_alpha 48.28
_cell_angle_beta 48.28
_cell_angle_gamma 90.00
_symmetry_space_group_name_H-M 'P 1'
_symmetry_Int_Tables_number 1
loop_
_symmetry_equiv_pos_as_xyz
'x,y,z'
loop_
_atom_site_label
_atom_site_type_symbol
_atom_site_fract_x
_atom_site_fract_y
_atom_site_fract_z
_atom_site_occupancy
Sr1 Sr 0.000 0.000 0.000 1
Sr2 Sr 0.750 0.250 0.500 1
Si1 Si 0.625 0.125 0.250 1
Si2 Si 0.125 0.625 0.250 1
Si3 Si 0.375 0.375 0.750 1
Si4 Si 0.875 0.875 0.750 1
Cl1 Cl 0.500 0.500 0.000 1
Cl2 Cl 0.250 0.750 0.500 1
```

## SrSiCl2 (PBE)

Data for a geometry-optimized SrSiCl2 structure.

The structure in CIF format:
```
data_SrSiCl2
_cell_length_a 3.746
_cell_length_b 6.025
_cell_length_c 4.425
_cell_angle_alpha 90.00
_cell_angle_beta 90.00
_cell_angle_gamma 90.00
_symmetry_space_group_name_H-M 'P 1'
_symmetry_Int_Tables_number 1
loop_
_symmetry_equiv_pos_as_xyz
'x,y,z'
loop_
_atom_site_label
_atom_site_type_symbol
_atom_site_fract_x
_atom_site_fract_y
_atom_site_fract_z
_atom_site_occupancy
Cl1 Cl 0.000 0.000 0.000 1
Cl2 Cl 0.500 0.500 0.000 1
Si1 Si 0.500 0.000 0.500 1
Sr1 Sr 0.000 0.500 0.500 1
```

## SrSi2Cl (PBE)

Data for a geometry-optimized SrSi2Cl structure.

The structure in CIF format:
```
data_SrSi2Cl
_cell_length_a 9.289
_cell_length_b 9.289
_cell_length_c 9.289
_cell_angle_alpha 21.56
_cell_angle_beta 21.56
_cell_angle_gamma 21.56
_symmetry_space_group_name_H-M 'P 1'
_symmetry_Int_Tables_number 1
loop_
_symmetry_equiv_pos_as_xyz
'x,y,z'
loop_
_atom_site_label
_atom_site_type_symbol
_atom_site_fract_x
_atom_site_fract_y
_atom_site_fract_z
_atom_site_occupancy
Cl1 Cl 0.750 0.750 0.750 1
Si1 Si 0.009 0.009 0.009 1
Si2 Si 0.491 0.491 0.491 1
Sr1 Sr 0.250 0.250 0.250 1
```

## Sr2SiCl (PBE)

Data for a geometry-optimized Sr2SiCl structure.

The structure in CIF format:
```
data_Sr2SiCl
_cell_length_a 4.312
_cell_length_b 4.312
_cell_length_c 8.448
_cell_angle_alpha 75.22
_cell_angle_beta 75.22
_cell_angle_gamma 60.00
_symmetry_space_group_name_H-M 'P 1'
_symmetry_Int_Tables_number 1
loop_
_symmetry_equiv_pos_as_xyz
'x,y,z'
loop_
_atom_site_label
_atom_site_type_symbol
_atom_site_fract_x
_atom_site_fract_y
_atom_site_fract_z
_atom_site_occupancy
Sr1 Sr 0.078 0.078 0.767 1
Sr2 Sr 0.258 0.258 0.225 1
Si1 Si 0.668 0.668 0.997 1
Cl1 Cl 0.496 0.496 0.511 1
```

## SrSi2Cl (PBE)

Data for a geometry-optimized SrSi2Cl structure.

The structure in CIF format:
```
data_SrSi2Cl
_cell_length_a 6.414
_cell_length_b 3.856
_cell_length_c 4.407
_cell_angle_alpha 87.71
_cell_angle_beta 90.00
_cell_angle_gamma 90.00
_symmetry_space_group_name_H-M 'P 1'
_symmetry_Int_Tables_number 1
loop_
_symmetry_equiv_pos_as_xyz
'x,y,z'
loop_
_atom_site_label
_atom_site_type_symbol
_atom_site_fract_x
_atom_site_fract_y
_atom_site_fract_z
_atom_site_occupancy
Cl1 Cl 0.500 0.750 0.750 1
Si1 Si 0.000 0.007 0.104 1
Si2 Si 0.000 0.493 0.396 1
Sr1 Sr 0.500 0.250 0.250 1
```

## SrSiCl2 (PBE)

Data for a geometry-optimized SrSiCl2 structure.

The structure in CIF format:
```
data_SrSiCl2
_cell_length_a 5.163
_cell_length_b 5.163
_cell_length_c 5.657
_cell_angle_alpha 85.09
_cell_angle_beta 85.09
_cell_angle_gamma 44.97
_symmetry_space_group_name_H-M 'P 1'
_symmetry_Int_Tables_number 1
loop_
_symmetry_equiv_pos_as_xyz
'x,y,z'
loop_
_atom_site_label
_atom_site_type_symbol
_atom_site_fract_x
_atom_site_fract_y
_atom_site_fract_z
_atom_site_occupancy
Cl1 Cl 0.950 0.950 0.016 1
Cl2 Cl 0.550 0.550 0.484 1
Si1 Si 0.750 0.750 0.750 1
Sr1 Sr 0.250 0.250 0.250 1
```

## SrSi2Cl (PBE)

Data for a geometry-optimized SrSi2Cl structure.

The structure in CIF format:
```
data_SrSi2Cl
_cell_length_a 8.519
_cell_length_b 8.519
_cell_length_c 8.519
_cell_angle_alpha 27.18
_cell_angle_beta 27.18
_cell_angle_gamma 27.18
_symmetry_space_group_name_H-M 'P 1'
_symmetry_Int_Tables_number 1
loop_
_symmetry_equiv_pos_as_xyz
'x,y,z'
loop_
_atom_site_label
_atom_site_type_symbol
_atom_site_fract_x
_atom_site_fract_y
_atom_site_fract_z
_atom_site_occupancy
Cl1 Cl 0.772 0.772 0.772 1
Si1 Si 0.957 0.957 0.957 1
Si2 Si 0.265 0.265 0.265 1
Sr1 Sr 0.506 0.506 0.506 1
```

ΔE to the lowest computed polymorph readings, ordered: 0.36; 2.99; 0.31; 5.30; 0.27; 1.02; 0.10; 0.00 eV per formula unit
Density readings, ordered: 2.190; 2.284; 3.103; 3.140; 3.050; 2.733; 2.921; 2.615 g/cm3
Raw formation energy readings, ordered: -883; -41; -894; 537; -990; -534; -947; -789 meV per atom